1.
Compound: Dy3NiGe2
Source: the Alexandria database
Functional: PBEsol
Structure: relaxed

Properties
magnetization = 0.0 μB per formula unit
Fermi-level density of states = 17.76 states/eV/cell
space-group type = No. 62
crystal system = orthorhombic
calculated total energy = -5.992 eV per atom
ΔH_f (0 K) = -0.83 eV/atom

a b c (Å): 11.2284 4.1143 11.0863
angles (deg): 90.00 90.00 90.00
Last column: nearest neighbours and their distance in Å.
Element x y z (fractional)
Dy1 0.0559 0.2500 0.1274  1 Ni 2.80, 5 Ge 2.94-3.12
Dy2 0.1189 0.7500 0.5587  3 Ni 2.90-2.95, 5 Ge 2.94-3.02
Dy3 0.2194 0.2500 0.8035  2 Ni 2.76, 4 Ge 2.95-3.00
Dy4 0.2806 0.7500 0.3035  2 Ni 2.76, 4 Ge 2.95-3.00
Dy5 0.3811 0.2500 0.0587  3 Ni 2.90-2.95, 5 Ge 2.94-3.02
Dy6 0.4441 0.7500 0.6274  1 Ni 2.80, 5 Ge 2.94-3.12
Dy7 0.5559 0.2500 0.3726  1 Ni 2.80, 5 Ge 2.94-3.12
Dy8 0.6189 0.7500 0.9413  3 Ni 2.90-2.95, 5 Ge 2.94-3.02
Dy9 0.7194 0.2500 0.6965  2 Ni 2.76, 4 Ge 2.95-3.00
Dy10 0.7806 0.7500 0.1965  2 Ni 2.76, 4 Ge 2.95-3.00
Dy11 0.8811 0.2500 0.4413  3 Ni 2.90-2.95, 5 Ge 2.94-3.02
Dy12 0.9441 0.7500 0.8726  1 Ni 2.80, 5 Ge 2.94-3.12
Ni1 0.1294 0.2500 0.3684  3 Ge 2.46-2.48
Ni2 0.3706 0.7500 0.8684  3 Ge 2.46-2.48
Ni3 0.6294 0.2500 0.1316  3 Ge 2.46-2.48
Ni4 0.8706 0.7500 0.6316  3 Ge 2.46-2.48
Ge1 0.0184 0.7500 0.3126  2 Ni 2.48
Ge2 0.1930 0.7500 0.9987  1 Ni 2.46
Ge3 0.3070 0.2500 0.4987  1 Ni 2.46
Ge4 0.4816 0.2500 0.8126  2 Ni 2.48
Ge5 0.5184 0.7500 0.1874  2 Ni 2.48
Ge6 0.6930 0.7500 0.5013  1 Ni 2.46
Ge7 0.8070 0.2500 0.0013  1 Ni 2.46
Ge8 0.9816 0.2500 0.6874  2 Ni 2.48


2.
Compound: Hg3Au
Source: the Alexandria database
Functional: PBEsol
Structure: relaxed

Properties
magnetization = 0.0 μB per formula unit
excess energy over the best structure of this formula in the dataset = 25 meV/atom
Fermi-level density of states = 1.15 states/eV/cell
space-group type = No. 47
crystal system = orthorhombic
calculated total energy = -1.353 eV per atom
ΔH_f (0 K) = 0.05 eV/atom

a b c (Å): 2.8247 3.8149 7.9595
angles (deg): 90.00 90.00 90.00
Last column: nearest neighbours and their distance in Å.
Element x y z (fractional)
Hg1 0.0000 0.0000 0.0000  2 Hg 2.82
Hg2 0.5000 0.5000 0.2726  2 Hg 2.82, 4 Au 2.99
Hg3 0.5000 0.5000 0.7274  2 Hg 2.82, 4 Au 2.99
Au1 0.0000 0.0000 0.5000  2 Au 2.82, 8 Hg 2.99


3.
Compound: MgMn2CrB
Source: the Alexandria database
Functional: PBEsol
Structure: relaxed

Properties
magnetization = 5.3 μB per formula unit
Fermi-level density of states = 5.64 states/eV/cell
space-group type = No. 123
crystal system = tetragonal
calculated total energy = -7.105 eV per atom
ΔH_f (0 K) = 0.59 eV/atom

a b c (Å): 3.8564 3.8564 4.1682
angles (deg): 90.00 90.00 90.00
Last column: nearest neighbours and their distance in Å.
Element x y z (fractional)
Mg1 0.0000 0.0000 0.0000  2 B 2.08
Mn1 0.0000 0.5000 0.5000  2 B 1.93
Mn2 0.5000 0.0000 0.5000  2 B 1.93
Cr1 0.5000 0.5000 0.0000  4 Mg 2.73, 8 Mn 2.84
B1 0.0000 0.0000 0.5000  4 Mn 1.93, 2 Mg 2.08


4.
Compound: Zr2TaSi2
Source: the Alexandria database
Functional: PBEsol
Structure: relaxed

Properties
magnetization = 0.0 μB per formula unit
Fermi-level density of states = 4.12 states/eV/cell
space-group type = No. 127
crystal system = tetragonal
calculated total energy = -9.346 eV per atom
formation energy (no corrections) = -901.0 meV per atom

a b c (Å): 6.8209 6.8209 3.6949
angles (deg): 90.00 90.00 90.00
Last column: nearest neighbours and their distance in Å.
Element x y z (fractional)
Zr1 0.1750 0.3250 0.0000  6 Si 2.67-2.78
Zr2 0.3250 0.8250 0.0000  6 Si 2.67-2.78
Zr3 0.6750 0.1750 0.0000  6 Si 2.67-2.78
Zr4 0.8250 0.6750 0.0000  6 Si 2.67-2.78
Ta1 0.0000 0.0000 0.5000  4 Si 2.69
Ta2 0.5000 0.5000 0.5000  4 Si 2.69
Si1 0.1254 0.6254 0.5000  1 Si 2.42, 2 Zr 2.67, 2 Ta 2.69
Si2 0.3746 0.1254 0.5000  1 Si 2.42, 2 Zr 2.67, 2 Ta 2.69
Si3 0.6254 0.8746 0.5000  1 Si 2.42, 2 Zr 2.67, 2 Ta 2.69
Si4 0.8746 0.3746 0.5000  1 Si 2.42, 2 Zr 2.67, 2 Ta 2.69